[1]
Material: Ge3PW
Method: DFT, PBE
State: optimized geometry

Output
- ΔE to the lowest computed polymorph: 0 meV per atom
- Final energy: -5.56 eV per atom
- SG: Pm-3m, No. 221

```
Ge3PW
1.0
4.927 0.000 0.000
0.000 4.927 0.000
0.000 0.000 4.927
Ge P W
3 1 1
Direct
0.500 0.000 0.000
0.000 0.500 0.000
0.000 0.000 0.500
0.500 0.500 0.500
0.000 0.000 0.000
```



[2]
Material: InPb2C
Method: DFT, PBE
State: optimized geometry

Output
- ΔE to the lowest computed polymorph: 0 meV per atom
- Final energy: -3.89 eV per atom
- SG: I-42d, No. 122

```
InPb2C
1.0
6.380 0.000 0.000
0.000 6.380 0.000
3.190 3.190 5.584
C In Pb
2 2 4
Direct
0.500 0.500 0.000
0.250 0.750 0.500
0.000 0.000 0.000
0.750 0.250 0.500
0.375 0.457 0.750
0.207 0.625 0.250
0.875 0.793 0.750
0.543 0.125 0.250
```



[3]
Material: LiAcSiPt6
Method: DFT, PBE
State: optimized geometry

Output
- E_form (uncorrected): -4.3 eV/f.u.
- Final energy: -5.78 eV per atom
- SG: Imma, No. 74

```
LiAcSiPt6
1.0
6.846 0.000 0.000
0.000 9.206 0.000
-3.423 -4.603 5.595
Si Pt Li Ac
2 12 2 2
Direct
0.500 0.000 0.000
0.500 0.500 0.000
0.106 0.890 0.745
0.423 0.673 0.847
0.639 0.890 0.745
0.577 0.327 0.153
0.639 0.354 0.745
0.103 0.853 0.206
0.894 0.646 0.255
0.894 0.110 0.255
0.897 0.147 0.794
0.361 0.110 0.255
0.106 0.354 0.745
0.361 0.646 0.255
0.500 0.000 0.500
0.000 0.000 0.500
0.846 0.596 0.692
0.154 0.404 0.308
```



[4]
Material: Hf6FeAu2
Method: DFT, PBE
State: optimized geometry

Output
- Final energy: -8.61 eV per atom
- SG: P-62m, No. 189

```
Hf6FeAu2
1.0
-0.483 -2.462 2.233
-0.522 -5.188 -5.832
6.952 1.567 3.230
Hf Au Fe
6 2 1
Direct
0.000 0.759 0.759
0.500 0.397 0.397
0.000 0.241 0.000
0.000 0.000 0.241
0.500 0.603 0.000
0.500 0.000 0.603
0.000 0.333 0.667
0.000 0.667 0.333
0.500 0.000 0.000
```



[5]
Material: Cu2ReRu
Method: DFT, PBE
State: optimized geometry

Output
- ΔE to the lowest computed polymorph: 173 meV per atom
- Final energy: -7.17 eV per atom
- SG: Cmm2, No. 35

```
Cu2ReRu
1.0
-2.197 -0.380 1.417
-0.107 -0.835 -2.504
2.967 -7.863 2.495
Cu Re Ru
2 1 1
Direct
0.000 0.000 0.007
0.500 0.500 0.242
0.000 0.000 0.501
0.500 0.500 0.750
```



[6]
Material: NdHoTl
Method: DFT, PBE
State: optimized geometry

Output
- ΔE to the lowest computed polymorph: 231 meV per atom
- Final energy: -3.94 eV per atom
- SG: F-43m, No. 216

```
NdHoTl
1.0
-3.659 -2.337 -2.973
-3.621 -3.096 2.233
-5.011 1.582 0.267
Nd Ho Tl
1 1 1
Direct
0.000 0.000 0.000
0.500 0.500 0.500
0.250 0.250 0.250
```



[7]
Material: Y2AgIrAu
Method: DFT, PBE
State: optimized geometry

Output
- Final energy: -5.68 eV per atom
- SG: P4/mmm, No. 123

```
Y2AgIrAu
1.0
-0.790 3.957 3.351
-4.912 -1.399 0.493
1.294 -3.132 4.004
Ir Au Y Ag
1 1 2 1
Direct
0.000 0.000 0.000
0.000 0.500 0.000
0.500 0.000 0.000
0.000 0.000 0.500
0.500 0.500 0.500
```



[8]
Material: SmEuBr2
Method: DFT, PBE
State: optimized geometry

Output
- E_form (uncorrected): -4.6 eV/f.u.
- Final energy: -5.74 eV per atom
- SG: R-3m, No. 166

```
SmEuBr2
1.0
-0.057 -0.049 -3.910
0.400 -3.384 -1.919
-9.905 -2.422 -1.781
Eu Br Sm
1 2 1
Direct
0.500 0.500 0.500
0.903 0.903 0.290
0.097 0.097 0.710
0.000 0.000 0.000
```



[9]
Material: CoP3C
Method: DFT, PBE
State: optimized geometry

Output
- ΔE to the lowest computed polymorph: 0 meV per atom
- Final energy: -5.40 eV per atom
- SG: Pm-3m, No. 221

```
CoP3C
1.0
3.901 0.000 0.000
0.000 3.901 0.000
0.000 0.000 3.901
C P Co
1 3 1
Direct
0.000 0.000 0.000
0.000 0.500 0.000
0.000 0.000 0.500
0.500 0.000 0.000
0.500 0.500 0.500
```



[10]
Material: NdEr3Zn2
Method: DFT, PBE
State: optimized geometry

Output
- Final energy: -3.73 eV per atom
- SG: P4/mmm, No. 123

```
NdEr3Zn2
1.0
-0.092 -0.254 -3.537
0.870 -3.432 0.223
-11.876 -2.975 0.522
Zn Nd Er
2 1 3
Direct
0.500 0.500 0.858
0.500 0.500 0.142
0.500 0.500 0.500
0.000 0.000 0.286
0.000 0.000 0.714
0.000 0.000 0.000
```



[11]
Material: CsCeIO6
Method: DFT, PBE
State: optimized geometry

Output
- E_form (uncorrected): -14.3 eV/f.u.
- Final energy: -5.82 eV per atom
- SG: P312, No. 149

```
CsCeIO6
1.0
5.769 0.000 0.000
2.885 4.996 0.000
0.000 -0.001 6.565
O I Cs Ce
6 1 1 1
Direct
0.048 0.363 0.334
0.590 0.363 0.666
0.363 0.048 0.666
0.363 0.590 0.334
0.048 0.590 0.666
0.590 0.048 0.334
0.333 0.333 0.500
0.000 0.000 0.000
0.667 0.667 0.500
```



[12]
Material: Ti3VCo4
Method: DFT, PBE
State: optimized geometry

Output
- Final energy: -7.95 eV per atom
- SG: P4/mmm, No. 123

```
Ti3VCo4
1.0
-0.505 -0.355 2.903
-1.536 -2.475 -0.570
9.879 -6.347 0.945
Ti V Co
3 1 4
Direct
0.500 0.500 0.500
0.500 0.500 0.753
0.500 0.500 0.247
0.500 0.500 0.000
0.000 0.000 0.373
0.000 0.000 0.120
0.000 0.000 0.627
0.000 0.000 0.880
```



Q: Which value of final energy does entry 9 give?
A: -5.40 eV per atom